Here is a relaxed structure of CdNCl3 from the Alexandria database. Energies are from PBE.

Output
**Energy above the most stable polymorph in this dataset**: 0.171 eV/atom
**Formation energy (no corrections)**: 0.20 eV/atom
**Calculated volume**: 31.15 Å³ per atom

```
CdNCl3
1.0
7.395 0.000 0.000
0.000 5.764 0.188
0.000 2.486 7.389
Cl Cd N
6 2 2
direct
0.750 0.598 0.076 Cl
0.250 0.926 0.747 Cl
0.750 0.074 0.253 Cl
0.750 0.175 0.770 Cl
0.250 0.825 0.230 Cl
0.250 0.402 0.924 Cl
0.500 0.000 0.000 Cd
0.000 0.000 0.000 Cd
0.750 0.356 0.292 N
0.250 0.644 0.708 N
```

***

Here is a relaxed structure of CdN2Cl from the Alexandria database. Energies are from PBE.

Output
**Fermi-level density of states**: 0.4 states/eV/f.u.
**Energy above the most stable polymorph in this dataset**: 2.473 eV/atom
**Formation energy (no corrections)**: 2.18 eV/atom
**Calculated volume**: 16.16 Å³ per atom

```
CdN2Cl
1.0
-2.692 1.488 3.291
-3.769 2.248 -1.017
-4.019 -1.923 0.665
N Cd Cl
2 1 1
direct
0.250 0.250 0.250 N
0.750 0.750 0.750 N
0.500 0.500 0.500 Cd
0.000 0.000 0.000 Cl
```

***

Here is a relaxed structure of CdN2Cl2 from the Alexandria database. Energies are from PBE.

Output
**Energy above the most stable polymorph in this dataset**: 2.130 eV/atom
**Formation energy (no corrections)**: 1.48 eV/atom
**Calculated volume**: 26.64 Å³ per atom

```
CdN2Cl2
1.0
3.917 -4.545 0.000
3.917 4.545 0.000
0.000 0.000 3.742
N Cd Cl
2 1 2
direct
0.710 0.290 0.000 N
0.290 0.710 0.000 N
0.000 0.000 0.000 Cd
0.226 0.226 0.500 Cl
0.774 0.774 0.500 Cl
```

***

Here is a relaxed structure of CdN2Cl2 from the Alexandria database. Energies are from PBE.

Output
**Fermi-level density of states**: 0.0 states/eV/f.u.
**Energy above the most stable polymorph in this dataset**: 0.000 eV/atom
**Formation energy (no corrections)**: -0.65 eV/atom
**Calculated volume**: 27.21 Å³ per atom

```
CdN2Cl2
1.0
3.899 0.000 0.000
-1.950 3.388 0.112
0.000 0.605 10.317
N Cl Cd
2 2 1
direct
0.045 0.091 0.542 N
0.955 0.909 0.458 N
0.647 0.294 0.140 Cl
0.353 0.706 0.860 Cl
0.000 0.000 0.000 Cd
```

***

no.,size of the total moment (μB per formula unit)
1,0.00
2,5.00
3,6.04
4,0.00